A plane-wave DFT calculation with GGA+U was carried out for crystalline LiAcV2O8 at its relaxed geometry.

Values from the calculation:
- Total magnetization: 2.02 Bohr magnetons per cell
- VASP energy: -6.931 eV per atom
- Theoretical density: 3.98 g cm⁻³
- Crystal system: trigonal

abc: 5.895 5.895 6.431
angles: 90.00 90.00 120.00
Fractional coordinates of all 12 atoms:
Li 0.000 0.000 0.500
Ac 0.000 0.000 0.000
V 0.667 0.333 0.362
V 0.333 0.667 0.638
O 0.829 0.171 0.276
O 0.829 0.658 0.276
O 0.342 0.171 0.276
O 0.658 0.829 0.724
O 0.333 0.667 0.368
O 0.667 0.333 0.632
O 0.171 0.829 0.724
O 0.171 0.342 0.724